Entry P
Material: BeCrOs
Method: DFT, PBE
State: optimized geometry

Unit cell a=4.4297 b=5.4625 c=5.4797 alpha=90.00 beta=90.00 gamma=90.00
Space group Ima2 (No. 46)
One atom of each set of equivalent atoms:
Be  0.0000  0.0000  0.0000 [4 per cell]
Cr  0.2500  0.1590  0.3377 [4 per cell]
Os  0.2500  0.6617  0.1577 [4 per cell]

---

Entry Q
Material: BeCrOs
Method: DFT, PBE
State: optimized geometry

Unit cell a=4.4528 b=4.5577 c=6.5994 alpha=90.00 beta=90.00 gamma=90.00
Space group Imma (No. 74)
One atom of each set of equivalent atoms:
Be  0.0000  0.0000  0.0000 [4 per cell]
Cr  0.2500  0.2500  0.2500 [4 per cell]
Os  0.0000  0.2500  0.6214 [4 per cell]

---

The structure with the greatest stability is entry P.

---

Entry P
Material: BeCrOs
Method: DFT, PBE
State: optimized geometry

Unit cell a=8.8052 b=2.8844 c=6.4174 alpha=90.00 beta=124.58 gamma=90.00
Space group Cm (No. 8)
One atom of each set of equivalent atoms:
Be  0.0000  0.0000  0.0000 [2 per cell]
Be  0.2407  0.5000  0.6819 [2 per cell]
Cr  0.2158  0.5000  0.2748 [2 per cell]
Cr  0.2804  0.0000  0.9949 [2 per cell]
Os  0.0280  0.0000  0.3834 [2 per cell]
Os  0.4580  0.0000  0.6916 [2 per cell]

---

Entry Q
Material: BeCrOs
Method: DFT, PBE
State: optimized geometry

Unit cell a=5.4739 b=5.4739 c=5.4739 alpha=90.00 beta=90.00 gamma=90.00
Space group F-43m (No. 216)
One atom of each set of equivalent atoms:
Be  0.0000  0.0000  0.0000 [4 per cell]
Cr  0.2500  0.2500  0.7500 [4 per cell]
Os  0.0000  0.0000  0.5000 [4 per cell]

---

The structure with the greatest stability is entry P.

---

Entry P
Material: BeCrOs
Method: DFT, PBE
State: optimized geometry

Unit cell a=3.9860 b=3.9860 c=5.1077 alpha=90.00 beta=90.00 gamma=120.00
Space group P-3m1 (No. 164)
One atom of each set of equivalent atoms:
Be  0.3333  0.6667  0.0476 [2 per cell]
Cr  0.3333  0.6667  0.5723 [2 per cell]
Os  0.0000  0.0000  0.2398 [2 per cell]

---

Entry Q
Material: BeCrOs
Method: DFT, PBE
State: optimized geometry

Unit cell a=4.0188 b=4.0188 c=4.9589 alpha=90.00 beta=90.00 gamma=120.00
Space group P3m1 (No. 156)
One atom of each set of equivalent atoms:
Be  0.0000  0.0000  0.0000 [1 per cell]
Be  0.3333  0.6667  0.3638 [1 per cell]
Cr  0.3333  0.6667  0.8659 [1 per cell]
Cr  0.6667  0.3333  0.6746 [1 per cell]
Os  0.0000  0.0000  0.5065 [1 per cell]
Os  0.6667  0.3333  0.1633 [1 per cell]

---

The structure with the greatest stability is entry P.

---

Entry P
Material: Be2CrOs
Method: DFT, PBE
State: optimized geometry

Unit cell a=2.9452 b=3.7361 c=3.9759 alpha=90.00 beta=90.00 gamma=90.00
Space group Pmmm (No. 47)
One atom of each set of equivalent atoms:
Be  0.0000  0.0000  0.0000 [1 per cell]
Be  0.5000  0.0000  0.5000 [1 per cell]
Cr  0.0000  0.5000  0.5000 [1 per cell]
Os  0.5000  0.5000  0.0000 [1 per cell]

---

Entry Q
Material: Be2CrOs
Method: DFT, PBE
State: optimized geometry

Unit cell a=2.9043 b=3.8641 c=7.5042 alpha=90.00 beta=90.00 gamma=90.00
Space group Imm2 (No. 44)
One atom of each set of equivalent atoms:
Be  0.0000  0.0000  0.0000 [2 per cell]
Be  0.0000  0.5000  0.2843 [2 per cell]
Cr  0.0000  0.0000  0.5298 [2 per cell]
Os  0.0000  0.5000  0.7588 [2 per cell]

---

Entry R
Material: Be2CrOs
Method: DFT, PBE
State: optimized geometry

Unit cell a=2.8725 b=4.1691 c=7.5059 alpha=90.00 beta=90.00 gamma=90.00
Space group Cmmm (No. 65)
One atom of each set of equivalent atoms:
Be  0.0000  0.0000  0.2467 [4 per cell]
Cr  0.0000  0.5000  0.0000 [2 per cell]
Os  0.0000  0.5000  0.5000 [2 per cell]

---

Entry S
Material: Be2CrOs
Method: DFT, PBE
State: optimized geometry

Unit cell a=8.4479 b=2.9622 c=3.9773 alpha=90.00 beta=117.94 gamma=90.00
Space group C2/m (No. 12)
One atom of each set of equivalent atoms:
Be  0.2504  0.0000  0.2503 [4 per cell]
Cr  0.0000  0.0000  0.5000 [2 per cell]
Os  0.0000  0.5000  0.0000 [2 per cell]

---

The structure with the greatest stability is entry Q.

---

Entry P
Material: Be2CrOs
Method: DFT, PBE
State: optimized geometry

Unit cell a=4.9210 b=7.4271 c=2.5249 alpha=90.00 beta=107.19 gamma=90.00
Space group C2/m (No. 12)
One atom of each set of equivalent atoms:
Be  0.2500  0.2500  0.0000 [4 per cell]
Cr  0.0000  0.0000  0.5000 [2 per cell]
Os  0.0000  0.5000  0.5000 [2 per cell]

---

Entry Q
Material: Be2CrOs
Method: DFT, PBE
State: optimized geometry

Unit cell a=2.8477 b=2.8477 c=5.3869 alpha=90.00 beta=90.00 gamma=90.00
Space group P4mm (No. 99)
One atom of each set of equivalent atoms:
Be  0.0000  0.0000  0.0000 [1 per cell]
Be  0.5000  0.5000  0.2021 [1 per cell]
Cr  0.0000  0.0000  0.4729 [1 per cell]
Os  0.5000  0.5000  0.7281 [1 per cell]

---

The structure with the greatest stability is entry Q.

---

Entry P
Material: Be2CrOs
Method: DFT, PBE
State: optimized geometry

Unit cell a=3.4865 b=2.7809 c=8.5790 alpha=90.00 beta=90.00 gamma=90.00
Space group Amm2 (No. 38)
One atom of each set of equivalent atoms:
Be  0.0000  0.0000  0.0000 [2 per cell]
Be  0.5000  0.0000  0.1313 [2 per cell]
Cr  0.0000  0.0000  0.7290 [2 per cell]
Os  0.5000  0.0000  0.4028 [2 per cell]

---

Entry Q
Material: Be2CrOs
Method: DFT, PBE
State: optimized geometry

Unit cell a=2.5138 b=3.7318 c=4.8103 alpha=90.00 beta=102.12 gamma=90.00
Space group P2/m (No. 10)
One atom of each set of equivalent atoms:
Be  0.2297  0.0000  0.2427 [2 per cell]
Cr  0.5000  0.5000  0.0000 [1 per cell]
Os  0.0000  0.5000  0.5000 [1 per cell]

---

The structure with the greatest stability is entry P.